Sm3I2 | Alexandria | PBE-GGA | optimized geometry; space group = R-3c, No. 167; V = 34.946 Å³ per atom; raw total energy = -38.7 eV for the cell shown
1.0
-3.7285 -5.0915 -1.6821
2.7792 -5.5926 -1.9113
-0.2334 -6.5837 7.7663
Sm I
6 4
Direct
0.0919 0.7500 0.7500 Sm
0.2500 0.5919 0.2500 Sm
0.7500 0.4081 0.7500 Sm
0.5919 0.9081 0.2500 Sm
0.4081 0.0919 0.7500 Sm
0.9081 0.2500 0.2500 Sm
0.6675 0.6675 0.9976 I
0.1675 0.1675 0.4976 I
0.3325 0.3325 0.0024 I
0.8325 0.8325 0.5024 I